1.
A plane-wave DFT calculation with PBE-GGA was carried out for crystalline Tc2PbBr at its relaxed geometry.

a = 3.2707 Å, b = 3.2707 Å, c = 6.6432 Å
α = 90.00°, β = 90.00°, γ = 90.00°
Element x y z (fractional)
Tc1 0.0000 0.0000 0.2375
Tc2 0.0000 0.0000 0.7625
Pb1 0.5000 0.5000 0.5000
Br1 0.5000 0.5000 0.0000

## Properties
crystal system	tetragonal
energy above the lowest structure with this stoichiometry	253.1	kJ/mol of formula units
E	-5.57	eV per atom

---

2.
A plane-wave DFT calculation with PBE-GGA was carried out for crystalline Tc2PbBr at its relaxed geometry.

a = 5.1022 Å, b = 5.1022 Å, c = 5.1022 Å
α = 130.71°, β = 130.71°, γ = 72.27°
Element x y z (fractional)
Tc1 0.0000 0.0000 0.0000
Tc2 0.7500 0.2500 0.5000
Pb1 0.5000 0.5000 0.0000
Br1 0.2500 0.7500 0.5000

## Properties
crystal system	tetragonal
energy above the lowest structure with this stoichiometry	315.8	kJ/mol of formula units
E	-5.41	eV per atom

---

3.
A plane-wave DFT calculation with PBE-GGA was carried out for crystalline Tc2PbBr at its relaxed geometry.

a = 3.1836 Å, b = 3.1836 Å, c = 8.8767 Å
α = 90.00°, β = 90.00°, γ = 120.71°
Element x y z (fractional)
Tc1 0.0000 0.0000 0.2431
Tc2 0.0000 0.0000 0.7569
Pb1 0.5000 0.5000 0.5000
Br1 0.5000 0.5000 0.0000

## Properties
crystal system	orthorhombic
energy above the lowest structure with this stoichiometry	286.7	kJ/mol of formula units
E	-5.48	eV per atom

---

4.
A plane-wave DFT calculation with PBE-GGA was carried out for crystalline TcPbBr at its relaxed geometry.

a = 7.4763 Å, b = 7.4763 Å, c = 7.4763 Å
α = 155.47°, β = 155.47°, γ = 34.97°
Element x y z (fractional)
Tc1 0.0000 0.0000 0.0000
Pb1 0.3511 0.3511 0.0000
Br1 0.5986 0.5986 0.0000

## Properties
crystal system	tetragonal
energy above the lowest structure with this stoichiometry	25.0	kJ/mol of formula units
E	-4.78	eV per atom